Version a
VASP calculation (PBE) on ZrNbTc2 after structural relaxation.

The structure in CIF format:
```
data_ZrNbTc2
_cell_length_a 10.317
_cell_length_b 4.818
_cell_length_c 5.609
_cell_angle_alpha 90.00
_cell_angle_beta 90.00
_cell_angle_gamma 90.00
_symmetry_space_group_name_H-M 'P n m a'
_symmetry_Int_Tables_number 62
_symmetry_space_group_name_Hall '-P 2ac 2n'
loop_
_atom_site_label
_atom_site_type_symbol
_atom_site_fract_x
_atom_site_fract_y
_atom_site_fract_z
Zr1 Zr 0.072 0.250 0.161
Nb1 Nb 0.076 0.250 0.656
Tc1 Tc 0.172 0.750 0.464
Tc2 Tc 0.183 0.750 0.009
```

density	9.1	g/cm³

Version b
VASP calculation (PBE) on ZrNbTc2 after structural relaxation.

The structure in CIF format:
```
data_ZrNbTc2
_cell_length_a 6.452
_cell_length_b 6.452
_cell_length_c 6.452
_cell_angle_alpha 90.00
_cell_angle_beta 90.00
_cell_angle_gamma 90.00
_symmetry_space_group_name_H-M 'F -4 3 m'
_symmetry_Int_Tables_number 216
_symmetry_space_group_name_Hall 'F -4 2 3'
loop_
_atom_site_label
_atom_site_type_symbol
_atom_site_fract_x
_atom_site_fract_y
_atom_site_fract_z
Zr1 Zr 0.000 0.000 0.000
Nb1 Nb 0.250 0.250 0.750
Tc1 Tc 0.000 0.000 0.500
Tc2 Tc 0.250 0.250 0.250
```

density	9.4	g/cm³

Most stable of them? version b.